DFT (PBE) results for crystalline TeMoP at its relaxed geometry.

a = 6.532 Å, b = 6.532 Å, c = 6.532 Å
α = 152.00°, β = 152.00°, γ = 40.01°
Positions (direct):
Te  0.632  0.632  0.000
Mo  0.985  0.985  0.000
P  0.383  0.383  0.000

Results
Formation energy from raw total energies   0.013 eV per atom
Crystal system   tetragonal
Space-group type   No. 107